Record 1
A plane-wave DFT calculation with PBE-GGA was carried out for a geometry-optimized MgTa2Re structure.

```
data_MgTa2Re
_space_group_name_H-M_alt 'P 1'
_space_group_IT_number 1
_cell_length_a 2.774
_cell_length_b 4.573
_cell_length_c 5.569
_cell_angle_alpha 90.00
_cell_angle_beta 100.81
_cell_angle_gamma 90.00
loop_
_space_group_symop_operation_xyz
'x,y,z'
loop_
_atom_site_label
_atom_site_fract_x
_atom_site_fract_y
_atom_site_fract_z
Mg1 0.000 0.000 0.000
Ta1 0.266 0.500 0.736
Ta2 0.734 0.500 0.264
Re1 0.500 0.000 0.500
```

Output
Calculated volume   69.4 Å³ per cell
Energy of formation from the pure elements   106 meV per atom

***

Record 2
A plane-wave DFT calculation with PBE-GGA was carried out for a geometry-optimized MgTa2Re structure.

```
data_MgTa2Re
_space_group_name_H-M_alt 'P 1'
_space_group_IT_number 1
_cell_length_a 2.768
_cell_length_b 4.620
_cell_length_c 5.492
_cell_angle_alpha 90.00
_cell_angle_beta 100.23
_cell_angle_gamma 90.00
loop_
_space_group_symop_operation_xyz
'x,y,z'
loop_
_atom_site_label
_atom_site_fract_x
_atom_site_fract_y
_atom_site_fract_z
Mg1 0.000 0.000 0.000
Ta1 0.294 0.500 0.749
Ta2 0.582 0.000 0.484
Re1 0.799 0.500 0.259
```

Output
Calculated volume   69.1 Å³ per cell
Energy of formation from the pure elements   105 meV per atom

***

Record 3
A plane-wave DFT calculation with PBE-GGA was carried out for a geometry-optimized Mg2TaRe structure.

```
data_Mg2TaRe
_space_group_name_H-M_alt 'P 1'
_space_group_IT_number 1
_cell_length_a 7.519
_cell_length_b 7.519
_cell_length_c 5.320
_cell_angle_alpha 90.00
_cell_angle_beta 90.00
_cell_angle_gamma 90.00
loop_
_space_group_symop_operation_xyz
'x,y,z'
loop_
_atom_site_label
_atom_site_fract_x
_atom_site_fract_y
_atom_site_fract_z
Mg1 0.231 0.250 0.125
Mg2 0.250 0.731 0.375
Mg3 0.250 0.769 0.875
Mg4 0.269 0.250 0.625
Mg5 0.731 0.750 0.625
Mg6 0.750 0.231 0.875
Mg7 0.750 0.269 0.375
Mg8 0.769 0.750 0.125
Ta1 0.000 0.000 0.500
Ta2 0.000 0.500 0.750
Ta3 0.500 0.000 0.250
Ta4 0.500 0.500 0.000
Re1 0.000 0.000 0.000
Re2 0.000 0.500 0.250
Re3 0.500 0.000 0.750
Re4 0.500 0.500 0.500
```

Output
Calculated volume   300.8 Å³ per cell
Excess energy over the best structure of this formula in the dataset   0.917 eV/atom
Energy of formation from the pure elements   1010 meV per atom

***

Record 4
A plane-wave DFT calculation with PBE-GGA was carried out for a geometry-optimized MgTaRe2 structure.

```
data_MgTaRe2
_space_group_name_H-M_alt 'P 1'
_space_group_IT_number 1
_cell_length_a 4.433
_cell_length_b 4.433
_cell_length_c 3.277
_cell_angle_alpha 90.00
_cell_angle_beta 90.00
_cell_angle_gamma 90.00
loop_
_space_group_symop_operation_xyz
'x,y,z'
loop_
_atom_site_label
_atom_site_fract_x
_atom_site_fract_y
_atom_site_fract_z
Mg1 0.000 0.000 0.000
Ta1 0.500 0.500 0.000
Re1 0.000 0.500 0.500
Re2 0.500 0.000 0.500
```

Output
Calculated volume   64.4 Å³ per cell
Energy of formation from the pure elements   219 meV per atom

***

Record 5
A plane-wave DFT calculation with PBE-GGA was carried out for a geometry-optimized Mg2TaRe structure.

```
data_Mg2TaRe
_space_group_name_H-M_alt 'P 1'
_space_group_IT_number 1
_cell_length_a 2.809
_cell_length_b 4.466
_cell_length_c 5.756
_cell_angle_alpha 90.00
_cell_angle_beta 100.84
_cell_angle_gamma 90.00
loop_
_space_group_symop_operation_xyz
'x,y,z'
loop_
_atom_site_label
_atom_site_fract_x
_atom_site_fract_y
_atom_site_fract_z
Mg1 0.000 0.000 0.000
Mg2 0.251 0.500 0.747
Ta1 0.552 0.000 0.469
Re1 0.750 0.500 0.259
```

Output
Calculated volume   70.9 Å³ per cell
Excess energy over the best structure of this formula in the dataset   0.084 eV/atom
Energy of formation from the pure elements   178 meV per atom

***

Record 6
A plane-wave DFT calculation with PBE-GGA was carried out for a geometry-optimized Mg2TaRe2 structure.

```
data_Mg2TaRe2
_space_group_name_H-M_alt 'P 1'
_space_group_IT_number 1
_cell_length_a 3.564
_cell_length_b 3.564
_cell_length_c 14.227
_cell_angle_alpha 90.00
_cell_angle_beta 90.00
_cell_angle_gamma 90.00
loop_
_space_group_symop_operation_xyz
'x,y,z'
loop_
_atom_site_label
_atom_site_fract_x
_atom_site_fract_y
_atom_site_fract_z
Mg1 0.000 0.500 0.250
Mg2 0.000 0.500 0.750
Mg3 0.500 0.000 0.250
Mg4 0.500 0.000 0.750
Ta1 0.000 0.000 0.000
Ta2 0.500 0.500 0.500
Re1 0.000 0.000 0.412
Re2 0.000 0.000 0.588
Re3 0.500 0.500 0.088
Re4 0.500 0.500 0.912
```

Output
Calculated volume   180.7 Å³ per cell
Excess energy over the best structure of this formula in the dataset   0.186 eV/atom
Energy of formation from the pure elements   695 meV per atom

***

Record 7
A plane-wave DFT calculation with PBE-GGA was carried out for a geometry-optimized Mg2TaRe structure.

```
data_Mg2TaRe
_space_group_name_H-M_alt 'P 1'
_space_group_IT_number 1
_cell_length_a 2.746
_cell_length_b 4.612
_cell_length_c 5.485
_cell_angle_alpha 90.00
_cell_angle_beta 90.00
_cell_angle_gamma 90.00
loop_
_space_group_symop_operation_xyz
'x,y,z'
loop_
_atom_site_label
_atom_site_fract_x
_atom_site_fract_y
_atom_site_fract_z
Mg1 0.000 0.000 0.242
Mg2 0.000 0.000 0.758
Ta1 0.500 0.500 0.500
Re1 0.500 0.500 0.000
```

Output
Calculated volume   69.5 Å³ per cell
Excess energy over the best structure of this formula in the dataset   0.181 eV/atom
Energy of formation from the pure elements   274 meV per atom

***

Record 8
A plane-wave DFT calculation with PBE-GGA was carried out for a geometry-optimized MgTaRe3 structure.

```
data_MgTaRe3
_space_group_name_H-M_alt 'P 1'
_space_group_IT_number 1
_cell_length_a 4.805
_cell_length_b 4.805
_cell_length_c 4.805
_cell_angle_alpha 90.00
_cell_angle_beta 90.00
_cell_angle_gamma 90.00
loop_
_space_group_symop_operation_xyz
'x,y,z'
loop_
_atom_site_label
_atom_site_fract_x
_atom_site_fract_y
_atom_site_fract_z
Mg1 0.000 0.000 0.000
Ta1 0.500 0.500 0.500
Re1 0.000 0.500 0.500
Re2 0.500 0.000 0.500
Re3 0.500 0.500 0.000
```

Output
Calculated volume   111.0 Å³ per cell
Excess energy over the best structure of this formula in the dataset   0.000 eV/atom
Energy of formation from the pure elements   2045 meV per atom

***

Record 9
A plane-wave DFT calculation with PBE-GGA was carried out for a geometry-optimized MgTa2Re structure.

```
data_MgTa2Re
_space_group_name_H-M_alt 'P 1'
_space_group_IT_number 1
_cell_length_a 3.253
_cell_length_b 4.656
_cell_length_c 9.400
_cell_angle_alpha 90.00
_cell_angle_beta 90.00
_cell_angle_gamma 90.00
loop_
_space_group_symop_operation_xyz
'x,y,z'
loop_
_atom_site_label
_atom_site_fract_x
_atom_site_fract_y
_atom_site_fract_z
Mg1 0.000 0.000 0.000
Mg2 0.500 0.500 0.000
Ta1 0.000 0.500 0.270
Ta2 0.000 0.500 0.730
Ta3 0.500 0.000 0.270
Ta4 0.500 0.000 0.730
Re1 0.000 0.000 0.500
Re2 0.500 0.500 0.500
```

Output
Calculated volume   142.4 Å³ per cell
Energy of formation from the pure elements   77 meV per atom

***

Record 10
A plane-wave DFT calculation with PBE-GGA was carried out for a geometry-optimized MgTaRe2 structure.

```
data_MgTaRe2
_space_group_name_H-M_alt 'P 1'
_space_group_IT_number 1
_cell_length_a 2.861
_cell_length_b 4.104
_cell_length_c 5.570
_cell_angle_alpha 90.00
_cell_angle_beta 90.00
_cell_angle_gamma 90.00
loop_
_space_group_symop_operation_xyz
'x,y,z'
loop_
_atom_site_label
_atom_site_fract_x
_atom_site_fract_y
_atom_site_fract_z
Mg1 0.000 0.000 0.000
Ta1 0.500 0.500 0.735
Re1 0.000 0.000 0.483
Re2 0.500 0.500 0.260
```

Output
Calculated volume   65.4 Å³ per cell
Energy of formation from the pure elements   241 meV per atom

***

Record 11
A plane-wave DFT calculation with PBE-GGA was carried out for a geometry-optimized MgTaRe3 structure.

```
data_MgTaRe3
_space_group_name_H-M_alt 'P 1'
_space_group_IT_number 1
_cell_length_a 4.443
_cell_length_b 4.443
_cell_length_c 4.443
_cell_angle_alpha 90.00
_cell_angle_beta 90.00
_cell_angle_gamma 90.00
loop_
_space_group_symop_operation_xyz
'x,y,z'
loop_
_atom_site_label
_atom_site_fract_x
_atom_site_fract_y
_atom_site_fract_z
Mg1 0.000 0.000 0.000
Ta1 0.500 0.500 0.500
Re1 0.000 0.000 0.500
Re2 0.000 0.500 0.000
Re3 0.500 0.000 0.000
```

Output
Calculated volume   87.7 Å³ per cell
Excess energy over the best structure of this formula in the dataset   0.055 eV/atom
Energy of formation from the pure elements   2100 meV per atom

***

Record 12
A plane-wave DFT calculation with PBE-GGA was carried out for a geometry-optimized MgTa2Re structure.

```
data_MgTa2Re
_space_group_name_H-M_alt 'P 1'
_space_group_IT_number 1
_cell_length_a 3.271
_cell_length_b 4.590
_cell_length_c 9.340
_cell_angle_alpha 90.00
_cell_angle_beta 90.00
_cell_angle_gamma 90.00
loop_
_space_group_symop_operation_xyz
'x,y,z'
loop_
_atom_site_label
_atom_site_fract_x
_atom_site_fract_y
_atom_site_fract_z
Mg1 0.000 0.000 0.000
Mg2 0.500 0.500 0.500
Ta1 0.000 0.000 0.465
Ta2 0.000 0.500 0.229
Ta3 0.500 0.000 0.729
Ta4 0.500 0.500 0.965
Re1 0.000 0.500 0.746
Re2 0.500 0.000 0.246
```

Output
Calculated volume   140.2 Å³ per cell
Energy of formation from the pure elements   104 meV per atom